[1]
DFT (GGA-PBE) results for NbF after structural relaxation.

Calculated values
As for the uncorrected formation energy: -1.610 eV per atom.

abc: 7.005 7.005 7.005
angles: 92.50 92.50 155.87
Fractional positions:
1 Nb 0.086 0.346 0.432
2 Nb 0.346 0.914 0.261
3 Nb 0.654 0.086 0.739
4 Nb 0.914 0.654 0.568
5 F 0.309 0.651 0.960
6 F 0.349 0.309 0.658
7 F 0.651 0.691 0.342
8 F 0.691 0.349 0.040

=====

[2]
DFT (GGA-PBE) results for BaAlSbI2 after structural relaxation.

Calculated values
As for the uncorrected formation energy: -0.042 eV per atom.

abc: 6.663 6.663 6.914
angles: 90.00 90.00 90.00
Fractional positions:
1 Ba 0.000 0.000 0.000
2 Al 0.500 0.500 0.500
3 Sb 0.000 0.000 0.500
4 I 0.000 0.500 0.000
5 I 0.500 0.000 0.000

=====

[3]
DFT (GGA-PBE) results for Ba2HfH after structural relaxation.

Calculated values
The total energy comes out at -3.240 eV/atom.

abc: 5.751 5.751 5.751
angles: 60.00 60.00 60.00
Fractional positions:
1 Ba 0.250 0.250 0.250
2 Ba 0.750 0.750 0.750
3 Hf 0.000 0.000 0.000
4 H 0.500 0.500 0.500

=====

[4]
DFT (GGA-PBE) results for PbSO2 after structural relaxation.

Calculated values
As for the uncorrected formation energy: 0.383 eV per atom.

abc: 4.314 4.314 4.314
angles: 60.00 60.00 60.00
Fractional positions:
1 Pb 0.000 0.000 0.000
2 S 0.500 0.500 0.500
3 O 0.250 0.250 0.250
4 O 0.750 0.750 0.750

=====

[5]
DFT (GGA-PBE) results for Th2ZnPtRh after structural relaxation.

Calculated values
The calculation puts the formation energy at -0.8739 eV per atom.

abc: 7.639 4.083 7.706
angles: 90.00 109.21 90.00
Fractional positions:
1 Th 0.052 0.250 0.216
2 Th 0.371 0.750 0.634
3 Th 0.629 0.250 0.366
4 Th 0.948 0.750 0.784
5 Zn 0.343 0.250 0.960
6 Zn 0.657 0.750 0.040
7 Pt 0.331 0.750 0.212
8 Pt 0.669 0.250 0.788
9 Rh 0.109 0.250 0.626
10 Rh 0.891 0.750 0.374

=====

[6]
DFT (GGA-PBE) results for SrZr2Sb after structural relaxation.

Calculated values
As for the uncorrected formation energy: 0.065 eV per atom.

abc: 3.531 3.531 9.406
angles: 90.00 90.00 100.24
Fractional positions:
1 Sr 0.000 0.000 0.000
2 Zr 0.500 0.500 0.312
3 Zr 0.500 0.500 0.688
4 Sb 0.000 0.000 0.500